! PBE TcBI2N, optimized geometry; values from VASP
&SYSTEM
  ibrav = 0, nat = 5, ntyp = 4
/
ATOMIC_SPECIES
I 126.90 I.upf
N 14.01 N.upf
B 10.81 B.upf
Tc 98.00 Tc.upf
CELL_PARAMETERS angstrom
5.547 0.000 0.000
0.000 5.547 0.000
0.000 0.000 3.752
ATOMIC_POSITIONS crystal
I 0.500 0.000 0.000
N 0.000 0.000 0.500
B 0.500 0.500 0.500
I 0.000 0.500 0.000
Tc 0.000 0.000 0.000
! crystal system	tetragonal
! E_tot	-4.54	eV per atom
! energy above the lowest structure with this stoichiometry	389	meV per atom
! magnetization	0.0	Bohr magnetons per cell
! formation energy from raw total energies	1.15	eV/atom